# 1
# TbPr2Ho4Er PBE relaxed
data_TbPr2Ho4Er
_chemical_formula_sum 'Tb2 Pr4 Ho8 Er2'
_cell_length_a 9.5169
_cell_length_b 9.5169
_cell_length_c 6.8163
_cell_angle_alpha 110.98
_cell_angle_beta 110.98
_cell_angle_gamma 88.36
_space_group_name_H-M_alt 'P 1'
_space_group_IT_number 1
_space_group_name_Hall 'P 1'
loop_
_atom_site_label
_atom_site_type_symbol
_atom_site_fract_x
_atom_site_fract_y
_atom_site_fract_z
Tb1 Tb 0.0000 0.0000 0.0000
Tb2 Tb 0.0000 0.0000 0.5000
Pr1 Pr 0.0000 0.5000 0.0000
Pr2 Pr 0.5000 0.0000 0.5000
Pr3 Pr 0.5000 0.5000 0.0000
Pr4 Pr 0.5000 0.5000 0.5000
Ho1 Ho 0.2439 0.2495 0.4974
Ho2 Ho 0.2463 0.7525 0.5014
Ho3 Ho 0.2475 0.7537 0.9986
Ho4 Ho 0.2495 0.2439 0.9974
Ho5 Ho 0.7505 0.7561 0.0026
Ho6 Ho 0.7525 0.2463 0.0014
Ho7 Ho 0.7537 0.2475 0.4986
Ho8 Ho 0.7561 0.7505 0.5026
Er1 Er 0.0000 0.5000 0.5000
Er2 Er 0.5000 0.0000 0.0000
# Mass density (g/cm³): 7.9
# Total magnetic moment (Bohr magnetons per cell): 4.34
# DFT formation energy (meV/atom): 422
# Volume (Å³/cell): 535
# Final energy (eV per atom): -4.21

***

# 2
# Tb6Pr2HoEr3 PBE relaxed
data_Tb6Pr2HoEr3
_chemical_formula_sum 'Tb6 Pr2 Ho1 Er3'
_cell_length_a 6.1799
_cell_length_b 6.1799
_cell_length_c 11.8303
_cell_angle_alpha 94.98
_cell_angle_beta 94.98
_cell_angle_gamma 119.97
_space_group_name_H-M_alt 'P 1'
_space_group_IT_number 1
_space_group_name_Hall 'P 1'
loop_
_atom_site_label
_atom_site_type_symbol
_atom_site_fract_x
_atom_site_fract_y
_atom_site_fract_z
Tb1 Tb 0.0850 0.4173 0.7541
Tb2 Tb 0.2472 0.2472 0.2456
Tb3 Tb 0.4173 0.0850 0.7541
Tb4 Tb 0.5827 0.9150 0.2459
Tb5 Tb 0.7528 0.7528 0.7544
Tb6 Tb 0.9150 0.5827 0.2459
Pr1 Pr 0.3333 0.6667 0.5000
Pr2 Pr 0.6667 0.3333 0.5000
Ho1 Ho 0.0000 0.0000 0.5000
Er1 Er 0.1664 0.8336 0.0000
Er2 Er 0.5000 0.5000 0.0000
Er3 Er 0.8336 0.1664 0.0000
# Mass density (g/cm³): 8.2
# Total magnetic moment (Bohr magnetons per cell): 0.00
# DFT formation energy (meV/atom): 18
# Volume (Å³/cell): 385
# Final energy (eV per atom): -4.62

***

# 3
# TbPr2Ho2Er PBE relaxed
data_TbPr2Ho2Er
_chemical_formula_sum 'Tb2 Pr4 Ho4 Er2'
_cell_length_a 7.0382
_cell_length_b 5.6668
_cell_length_c 9.8205
_cell_angle_alpha 90.00
_cell_angle_beta 90.00
_cell_angle_gamma 90.00
_space_group_name_H-M_alt 'P 1'
_space_group_IT_number 1
_space_group_name_Hall 'P 1'
loop_
_atom_site_label
_atom_site_type_symbol
_atom_site_fract_x
_atom_site_fract_y
_atom_site_fract_z
Tb1 Tb 0.2500 0.0000 0.1580
Tb2 Tb 0.7500 0.0000 0.8420
Pr1 Pr 0.0000 0.0000 0.5000
Pr2 Pr 0.2500 0.5000 0.6783
Pr3 Pr 0.5000 0.0000 0.5000
Pr4 Pr 0.7500 0.5000 0.3217
Ho1 Ho 0.2500 0.0000 0.8327
Ho2 Ho 0.2500 0.5000 0.3355
Ho3 Ho 0.7500 0.0000 0.1673
Ho4 Ho 0.7500 0.5000 0.6645
Er1 Er 0.0000 0.5000 0.0000
Er2 Er 0.5000 0.5000 0.0000
# Mass density (g/cm³): 8.0
# Total magnetic moment (Bohr magnetons per cell): 0.00
# DFT formation energy (meV/atom): 66
# Volume (Å³/cell): 392
# Final energy (eV per atom): -4.59

***

# 4
# Tb5PrHoEr2 PBE relaxed
data_Tb5PrHoEr2
_chemical_formula_sum 'Tb10 Pr2 Ho2 Er4'
_cell_length_a 10.3399
_cell_length_b 10.3399
_cell_length_c 10.5291
_cell_angle_alpha 90.00
_cell_angle_beta 90.00
_cell_angle_gamma 148.47
_space_group_name_H-M_alt 'P 1'
_space_group_IT_number 1
_space_group_name_Hall 'P 1'
loop_
_atom_site_label
_atom_site_type_symbol
_atom_site_fract_x
_atom_site_fract_y
_atom_site_fract_z
Tb1 Tb 0.0175 0.9825 0.5000
Tb2 Tb 0.2807 0.7193 0.7898
Tb3 Tb 0.2981 0.7019 0.1856
Tb4 Tb 0.3867 0.6133 0.4996
Tb5 Tb 0.4785 0.5215 0.2144
Tb6 Tb 0.5215 0.4785 0.7144
Tb7 Tb 0.6133 0.3867 0.9996
Tb8 Tb 0.7019 0.2981 0.6856
Tb9 Tb 0.7193 0.2807 0.2898
Tb10 Tb 0.9825 0.0175 0.0000
Pr1 Pr 0.4155 0.5845 0.9275
Pr2 Pr 0.5845 0.4155 0.4275
Ho1 Ho 0.1993 0.8007 0.4889
Ho2 Ho 0.8007 0.1993 0.9889
Er1 Er 0.1119 0.8881 0.2109
Er2 Er 0.1142 0.8858 0.7954
Er3 Er 0.8858 0.1142 0.2954
Er4 Er 0.8881 0.1119 0.7109
# Mass density (g/cm³): 8.1
# Total magnetic moment (Bohr magnetons per cell): 0.00
# DFT formation energy (meV/atom): 161
# Volume (Å³/cell): 589
# Final energy (eV per atom): -4.47

***

# 5
# Tb6PrHoEr2 PBE relaxed
data_Tb6PrHoEr2
_chemical_formula_sum 'Tb12 Pr2 Ho2 Er4'
_cell_length_a 8.7970
_cell_length_b 8.7970
_cell_length_c 9.5086
_cell_angle_alpha 93.35
_cell_angle_beta 93.35
_cell_angle_gamma 117.41
_space_group_name_H-M_alt 'P 1'
_space_group_IT_number 1
_space_group_name_Hall 'P 1'
loop_
_atom_site_label
_atom_site_type_symbol
_atom_site_fract_x
_atom_site_fract_y
_atom_site_fract_z
Tb1 Tb 0.0146 0.5621 0.1827
Tb2 Tb 0.1211 0.7530 0.5564
Tb3 Tb 0.2470 0.8789 0.9436
Tb4 Tb 0.2921 0.5119 0.3823
Tb5 Tb 0.4379 0.9854 0.3173
Tb6 Tb 0.4881 0.7079 0.1177
Tb7 Tb 0.5119 0.2921 0.8823
Tb8 Tb 0.5621 0.0146 0.6827
Tb9 Tb 0.7079 0.4881 0.6177
Tb10 Tb 0.7530 0.1211 0.0564
Tb11 Tb 0.8789 0.2470 0.4436
Tb12 Tb 0.9854 0.4379 0.8173
Pr1 Pr 0.0279 0.9721 0.2500
Pr2 Pr 0.9721 0.0279 0.7500
Ho1 Ho 0.4101 0.5899 0.7500
Ho2 Ho 0.5899 0.4101 0.2500
Er1 Er 0.2008 0.3050 0.0478
Er2 Er 0.3050 0.2008 0.5478
Er3 Er 0.6950 0.7992 0.4522
Er4 Er 0.7992 0.6950 0.9522
# Mass density (g/cm³): 8.2
# Total magnetic moment (Bohr magnetons per cell): 0.00
# DFT formation energy (meV/atom): 120
# Volume (Å³/cell): 649
# Final energy (eV per atom): -4.51

***

# 6
# TbPr6Ho2Er PBE relaxed
data_TbPr6Ho2Er
_chemical_formula_sum 'Tb2 Pr12 Ho4 Er2'
_cell_length_a 9.0014
_cell_length_b 9.0014
_cell_length_c 9.6866
_cell_angle_alpha 93.88
_cell_angle_beta 93.88
_cell_angle_gamma 117.64
_space_group_name_H-M_alt 'P 1'
_space_group_IT_number 1
_space_group_name_Hall 'P 1'
loop_
_atom_site_label
_atom_site_type_symbol
_atom_site_fract_x
_atom_site_fract_y
_atom_site_fract_z
Tb1 Tb 0.0278 0.9722 0.7500
Tb2 Tb 0.9722 0.0278 0.2500
Pr1 Pr 0.0061 0.5637 0.6892
Pr2 Pr 0.1153 0.7633 0.0540
Pr3 Pr 0.2367 0.8847 0.4460
Pr4 Pr 0.2934 0.5111 0.8827
Pr5 Pr 0.4363 0.9939 0.8108
Pr6 Pr 0.4889 0.7066 0.6173
Pr7 Pr 0.5111 0.2934 0.3827
Pr8 Pr 0.5637 0.0061 0.1892
Pr9 Pr 0.7066 0.4889 0.1173
Pr10 Pr 0.7633 0.1153 0.5540
Pr11 Pr 0.8847 0.2367 0.9460
Pr12 Pr 0.9939 0.4363 0.3108
Ho1 Ho 0.2008 0.2968 0.5467
Ho2 Ho 0.2968 0.2008 0.0467
Ho3 Ho 0.7032 0.7992 0.9533
Ho4 Ho 0.7992 0.7032 0.4533
Er1 Er 0.4121 0.5879 0.2500
Er2 Er 0.5879 0.4121 0.7500
# Mass density (g/cm³): 7.2
# Total magnetic moment (Bohr magnetons per cell): 0.00
# DFT formation energy (meV/atom): 116
# Volume (Å³/cell): 689
# Final energy (eV per atom): -4.59

***

# 7
# Tb4Pr2HoEr2 PBE relaxed
data_Tb4Pr2HoEr2
_chemical_formula_sum 'Tb4 Pr2 Ho1 Er2'
_cell_length_a 6.0182
_cell_length_b 6.6236
_cell_length_c 8.5814
_cell_angle_alpha 79.95
_cell_angle_beta 70.63
_cell_angle_gamma 65.71
_space_group_name_H-M_alt 'P 1'
_space_group_IT_number 1
_space_group_name_Hall 'P 1'
loop_
_atom_site_label
_atom_site_type_symbol
_atom_site_fract_x
_atom_site_fract_y
_atom_site_fract_z
Tb1 Tb 0.1157 0.1251 0.2634
Tb2 Tb 0.2427 0.5732 0.3856
Tb3 Tb 0.7573 0.4268 0.6144
Tb4 Tb 0.8843 0.8749 0.7366
Pr1 Pr 0.2292 0.3244 0.8415
Pr2 Pr 0.7708 0.6756 0.1585
Ho1 Ho 0.5000 0.0000 0.5000
Er1 Er 0.3246 0.7690 0.9442
Er2 Er 0.6754 0.2310 0.0558
# Mass density (g/cm³): 8.0
# Total magnetic moment (Bohr magnetons per cell): 0.00
# DFT formation energy (meV/atom): 85
# Volume (Å³/cell): 294
# Final energy (eV per atom): -4.56

***

# 8
# TbPrHo4Er2 PBE relaxed
data_TbPrHo4Er2
_chemical_formula_sum 'Tb2 Pr2 Ho8 Er4'
_cell_length_a 9.4727
_cell_length_b 9.4727
_cell_length_c 9.4727
_cell_angle_alpha 138.10
_cell_angle_beta 103.41
_cell_angle_gamma 91.36
_space_group_name_H-M_alt 'P 1'
_space_group_IT_number 1
_space_group_name_Hall 'P 1'
loop_
_atom_site_label
_atom_site_type_symbol
_atom_site_fract_x
_atom_site_fract_y
_atom_site_fract_z
Tb1 Tb 0.5000 0.0000 0.0000
Tb2 Tb 0.5000 0.5000 0.5000
Pr1 Pr 0.0000 0.0000 0.0000
Pr2 Pr 0.5000 0.0000 0.5000
Ho1 Ho 0.2461 0.7476 0.4985
Ho2 Ho 0.2483 0.2505 0.5022
Ho3 Ho 0.2483 0.7462 0.9978
Ho4 Ho 0.2509 0.2524 0.9985
Ho5 Ho 0.7491 0.7476 0.0015
Ho6 Ho 0.7517 0.2538 0.0022
Ho7 Ho 0.7517 0.7495 0.4978
Ho8 Ho 0.7539 0.2524 0.5015
Er1 Er 0.0000 0.0000 0.5000
Er2 Er 0.0000 0.5000 0.0000
Er3 Er 0.0000 0.5000 0.5000
Er4 Er 0.5000 0.5000 0.0000
# Mass density (g/cm³): 8.2
# Total magnetic moment (Bohr magnetons per cell): 5.83
# DFT formation energy (meV/atom): 438
# Volume (Å³/cell): 526
# Final energy (eV per atom): -4.17

***

# 9
# TbPr2Ho6Er3 PBE relaxed
data_TbPr2Ho6Er3
_chemical_formula_sum 'Tb1 Pr2 Ho6 Er3'
_cell_length_a 6.1565
_cell_length_b 6.1565
_cell_length_c 11.7635
_cell_angle_alpha 94.99
_cell_angle_beta 94.99
_cell_angle_gamma 119.96
_space_group_name_H-M_alt 'P 1'
_space_group_IT_number 1
_space_group_name_Hall 'P 1'
loop_
_atom_site_label
_atom_site_type_symbol
_atom_site_fract_x
_atom_site_fract_y
_atom_site_fract_z
Tb1 Tb 0.0000 0.0000 0.0000
Pr1 Pr 0.3335 0.6665 0.0000
Pr2 Pr 0.6665 0.3335 0.0000
Ho1 Ho 0.0853 0.4179 0.2542
Ho2 Ho 0.2471 0.2471 0.7455
Ho3 Ho 0.4179 0.0853 0.2542
Ho4 Ho 0.5821 0.9147 0.7458
Ho5 Ho 0.7529 0.7529 0.2545
Ho6 Ho 0.9147 0.5821 0.7458
Er1 Er 0.1665 0.8335 0.5000
Er2 Er 0.5000 0.5000 0.5000
Er3 Er 0.8335 0.1665 0.5000
# Mass density (g/cm³): 8.4
# Total magnetic moment (Bohr magnetons per cell): 0.00
# DFT formation energy (meV/atom): 21
# Volume (Å³/cell): 380
# Final energy (eV per atom): -4.59

***

# 10
# Tb2PrHo2Er PBE relaxed
data_Tb2PrHo2Er
_chemical_formula_sum 'Tb4 Pr2 Ho4 Er2'
_cell_length_a 6.5477
_cell_length_b 17.7427
_cell_length_c 3.4004
_cell_angle_alpha 90.00
_cell_angle_beta 90.00
_cell_angle_gamma 90.00
_space_group_name_H-M_alt 'P 1'
_space_group_IT_number 1
_space_group_name_Hall 'P 1'
loop_
_atom_site_label
_atom_site_type_symbol
_atom_site_fract_x
_atom_site_fract_y
_atom_site_fract_z
Tb1 Tb 0.2194 0.1488 0.0000
Tb2 Tb 0.2806 0.6488 0.5000
Tb3 Tb 0.7194 0.3512 0.5000
Tb4 Tb 0.7806 0.8512 0.0000
Pr1 Pr 0.0000 0.5000 0.5000
Pr2 Pr 0.5000 0.0000 0.0000
Ho1 Ho 0.2230 0.3150 0.5000
Ho2 Ho 0.2770 0.8150 0.0000
Ho3 Ho 0.7230 0.1850 0.0000
Ho4 Ho 0.7770 0.6850 0.5000
Er1 Er 0.0000 0.0000 0.5000
Er2 Er 0.5000 0.5000 0.0000
# Mass density (g/cm³): 8.0
# Total magnetic moment (Bohr magnetons per cell): 0.00
# DFT formation energy (meV/atom): 276
# Volume (Å³/cell): 395
# Final energy (eV per atom): -4.35

***

# 11
# TbPr4HoEr2 PBE relaxed
data_TbPr4HoEr2
_chemical_formula_sum 'Tb1 Pr4 Ho1 Er2'
_cell_length_a 5.1481
_cell_length_b 5.1824
_cell_length_c 10.0347
_cell_angle_alpha 90.00
_cell_angle_beta 90.01
_cell_angle_gamma 90.00
_space_group_name_H-M_alt 'P 1'
_space_group_IT_number 1
_space_group_name_Hall 'P 1'
loop_
_atom_site_label
_atom_site_type_symbol
_atom_site_fract_x
_atom_site_fract_y
_atom_site_fract_z
Tb1 Tb 0.0000 0.0000 0.0000
Pr1 Pr 0.0008 0.5000 0.2505
Pr2 Pr 0.4990 0.0000 0.7492
Pr3 Pr 0.5010 0.0000 0.2508
Pr4 Pr 0.9992 0.5000 0.7495
Ho1 Ho 0.5000 0.5000 0.5000
Er1 Er 0.0000 0.0000 0.5000
Er2 Er 0.5000 0.5000 0.0000
# Mass density (g/cm³): 7.6
# Total magnetic moment (Bohr magnetons per cell): 0.00
# DFT formation energy (meV/atom): 13
# Volume (Å³/cell): 268
# Final energy (eV per atom): -4.67

***

# 12
# Tb4PrHoEr2 PBE relaxed
data_Tb4PrHoEr2
_chemical_formula_sum 'Tb8 Pr2 Ho2 Er4'
_cell_length_a 9.4882
_cell_length_b 9.4882
_cell_length_c 6.7982
_cell_angle_alpha 110.99
_cell_angle_beta 110.99
_cell_angle_gamma 88.46
_space_group_name_H-M_alt 'P 1'
_space_group_IT_number 1
_space_group_name_Hall 'P 1'
loop_
_atom_site_label
_atom_site_type_symbol
_atom_site_fract_x
_atom_site_fract_y
_atom_site_fract_z
Tb1 Tb 0.2470 0.2520 0.4969
Tb2 Tb 0.2494 0.7506 0.5020
Tb3 Tb 0.2494 0.7506 0.9980
Tb4 Tb 0.2520 0.2470 0.9969
Tb5 Tb 0.7480 0.7530 0.0031
Tb6 Tb 0.7506 0.2494 0.0020
Tb7 Tb 0.7506 0.2494 0.4980
Tb8 Tb 0.7530 0.7480 0.5031
Pr1 Pr 0.0000 0.5000 0.0000
Pr2 Pr 0.5000 0.0000 0.5000
Ho1 Ho 0.5000 0.5000 0.0000
Ho2 Ho 0.5000 0.5000 0.5000
Er1 Er 0.0000 0.0000 0.0000
Er2 Er 0.0000 0.0000 0.5000
Er3 Er 0.0000 0.5000 0.5000
Er4 Er 0.5000 0.0000 0.0000
# Mass density (g/cm³): 8.0
# Total magnetic moment (Bohr magnetons per cell): 5.19
# DFT formation energy (meV/atom): 430
# Volume (Å³/cell): 530
# Final energy (eV per atom): -4.20